A plane-wave DFT calculation with GGA-PBE was carried out for a geometry-optimized CrReRh2Pb structure.

The structure in POSCAR format:
```
CrReRh2Pb
1.0
-0.8031 4.6727 -1.0445
-4.2925 -1.1332 -1.7690
-1.9773 0.6409 4.3875
Pb Re Rh Cr
1 1 2 1
direct
0.0000 0.0000 0.0000
0.5000 0.5000 0.5000
0.0000 0.0000 0.5000
0.5000 0.0000 0.0000
0.0000 0.5000 0.0000
```

Calculated values
- formation energy (kJ/mol of formula units) = 1202
- space group = No. 123